Record 1
! ScCrSnIr2, optimized geometry, DFT PBE; values from VASP
&SYSTEM
  ibrav = 0, nat = 5, ntyp = 4
/
ATOMIC_SPECIES
Sc 44.96 Sc.upf
Cr 52.00 Cr.upf
Sn 118.71 Sn.upf
Ir 192.22 Ir.upf
CELL_PARAMETERS angstrom
4.5736 0.0000 0.0000
0.0000 4.5736 0.0000
0.0000 0.0000 4.7740
ATOMIC_POSITIONS crystal
Sc 0.0000 0.0000 0.0000
Cr 0.5000 0.5000 0.5000
Sn 0.5000 0.5000 0.0000
Ir 0.0000 0.5000 0.5000
Ir 0.5000 0.0000 0.5000
! **Final energy**: -35.12 eV for the cell shown
! **Energy of formation from the pure elements**: 0.51 eV/atom
! **Space group**: No. 123

---

Record 2
! ScTaCrIr, optimized geometry, DFT PBE; values from VASP
&SYSTEM
  ibrav = 0, nat = 16, ntyp = 4
/
ATOMIC_SPECIES
Sc 44.96 Sc.upf
Ta 180.95 Ta.upf
Cr 52.00 Cr.upf
Ir 192.22 Ir.upf
CELL_PARAMETERS angstrom
6.3493 0.0000 0.0000
0.0000 6.3493 0.0000
0.0000 0.0000 6.3493
ATOMIC_POSITIONS crystal
Sc 0.0000 0.0000 0.0000
Sc 0.0000 0.5000 0.5000
Sc 0.5000 0.0000 0.5000
Sc 0.5000 0.5000 0.0000
Ta 0.0000 0.0000 0.5000
Ta 0.0000 0.5000 0.0000
Ta 0.5000 0.0000 0.0000
Ta 0.5000 0.5000 0.5000
Cr 0.2500 0.2500 0.2500
Cr 0.2500 0.7500 0.7500
Cr 0.7500 0.2500 0.7500
Cr 0.7500 0.7500 0.2500
Ir 0.2500 0.2500 0.7500
Ir 0.2500 0.7500 0.2500
Ir 0.7500 0.2500 0.2500
Ir 0.7500 0.7500 0.7500
! **Final energy**: -152.32 eV for the cell shown
! **Energy of formation from the pure elements**: -0.35 eV/atom
! **Space group**: No. 216

---

Record 3
! ScCr2TeIr, optimized geometry, DFT PBE; values from VASP
&SYSTEM
  ibrav = 0, nat = 5, ntyp = 4
/
ATOMIC_SPECIES
Sc 44.96 Sc.upf
Cr 52.00 Cr.upf
Te 127.60 Te.upf
Ir 192.22 Ir.upf
CELL_PARAMETERS angstrom
4.6973 0.0000 0.0000
0.0000 4.6973 0.0000
0.0000 0.0000 5.3876
ATOMIC_POSITIONS crystal
Sc 0.0000 0.0000 0.0000
Cr 0.0000 0.5000 0.5000
Cr 0.5000 0.0000 0.5000
Te 0.5000 0.5000 0.0000
Ir 0.5000 0.5000 0.5000
! **Final energy**: -34.15 eV for the cell shown
! **Space group**: No. 123
! **Uncorrected formation energy**: 687 meV/atom

---

Record 4
! ScZnCrIr2, optimized geometry, DFT PBE; values from VASP
&SYSTEM
  ibrav = 0, nat = 5, ntyp = 4
/
ATOMIC_SPECIES
Sc 44.96 Sc.upf
Zn 65.41 Zn.upf
Cr 52.00 Cr.upf
Ir 192.22 Ir.upf
CELL_PARAMETERS angstrom
4.5152 0.0000 0.0000
0.0000 4.5152 0.0000
0.0000 0.0000 4.5714
ATOMIC_POSITIONS crystal
Sc 0.0000 0.0000 0.0000
Zn 0.5000 0.5000 0.0000
Cr 0.0000 0.0000 0.5000
Ir 0.0000 0.5000 0.5000
Ir 0.5000 0.0000 0.5000
! **Final energy**: -31.68 eV for the cell shown
! **Energy of formation from the pure elements**: 0.65 eV/atom
! **Space group**: No. 123

---

Record 5
! ZrSc2CrIr, optimized geometry, DFT PBE; values from VASP
&SYSTEM
  ibrav = 0, nat = 5, ntyp = 4
/
ATOMIC_SPECIES
Zr 91.22 Zr.upf
Sc 44.96 Sc.upf
Cr 52.00 Cr.upf
Ir 192.22 Ir.upf
CELL_PARAMETERS angstrom
4.8994 0.0000 0.0000
0.0000 4.8994 0.0000
0.0000 0.0000 4.4448
ATOMIC_POSITIONS crystal
Zr 0.0000 0.0000 0.0000
Sc 0.0000 0.5000 0.0000
Sc 0.5000 0.0000 0.0000
Cr 0.0000 0.0000 0.5000
Ir 0.5000 0.5000 0.5000
! **Final energy**: -33.20 eV for the cell shown
! **Energy of formation from the pure elements**: 1.30 eV/atom
! **Space group**: No. 123

---

Record 6
! ZrScCrIr, optimized geometry, DFT PBE; values from VASP
&SYSTEM
  ibrav = 0, nat = 16, ntyp = 4
/
ATOMIC_SPECIES
Zr 91.22 Zr.upf
Sc 44.96 Sc.upf
Cr 52.00 Cr.upf
Ir 192.22 Ir.upf
CELL_PARAMETERS angstrom
6.5272 0.0000 0.0000
0.0000 6.5272 0.0000
0.0000 0.0000 6.5272
ATOMIC_POSITIONS crystal
Zr 0.0000 0.0000 0.0000
Zr 0.0000 0.5000 0.5000
Zr 0.5000 0.0000 0.5000
Zr 0.5000 0.5000 0.0000
Sc 0.0000 0.0000 0.5000
Sc 0.0000 0.5000 0.0000
Sc 0.5000 0.0000 0.0000
Sc 0.5000 0.5000 0.5000
Cr 0.2500 0.2500 0.7500
Cr 0.2500 0.7500 0.2500
Cr 0.7500 0.2500 0.2500
Cr 0.7500 0.7500 0.7500
Ir 0.2500 0.2500 0.2500
Ir 0.2500 0.7500 0.7500
Ir 0.7500 0.2500 0.7500
Ir 0.7500 0.7500 0.2500
! **Final energy**: -139.56 eV for the cell shown
! **Energy of formation from the pure elements**: -0.38 eV/atom
! **Space group**: No. 216

---

Record 7
! CrIrSe4, optimized geometry, DFT PBE; values from VASP
&SYSTEM
  ibrav = 0, nat = 12, ntyp = 3
/
ATOMIC_SPECIES
Cr 52.00 Cr.upf
Ir 192.22 Ir.upf
Se 78.96 Se.upf
CELL_PARAMETERS angstrom
6.0405 0.0000 0.0000
0.0000 6.0115 0.0000
-0.0312 0.0000 6.0205
ATOMIC_POSITIONS crystal
Cr 0.0000 0.0000 0.0000
Cr 0.0000 0.5000 0.5000
Ir 0.5000 0.0000 0.5000
Ir 0.5000 0.5000 0.0000
Se 0.1233 0.1320 0.3685
Se 0.1233 0.3680 0.8685
Se 0.3654 0.6244 0.3737
Se 0.3654 0.8756 0.8737
Se 0.6346 0.1244 0.1263
Se 0.6346 0.3756 0.6263
Se 0.8767 0.6320 0.1315
Se 0.8767 0.8680 0.6315
! **Final energy**: -68.80 eV for the cell shown
! **Space group**: No. 14
! **Uncorrected formation energy**: -330 meV/atom
! **Excess energy over the best structure of this formula in the dataset**: 0 meV per atom

---

Record 8
! CrIrSe2, optimized geometry, DFT PBE; values from VASP
&SYSTEM
  ibrav = 0, nat = 16, ntyp = 3
/
ATOMIC_SPECIES
Cr 52.00 Cr.upf
Ir 192.22 Ir.upf
Se 78.96 Se.upf
CELL_PARAMETERS angstrom
6.2305 0.0000 0.0000
0.0000 6.2305 0.0000
0.0000 0.0000 6.2305
ATOMIC_POSITIONS crystal
Cr 0.0000 0.0000 0.0000
Cr 0.0000 0.5000 0.5000
Cr 0.5000 0.0000 0.5000
Cr 0.5000 0.5000 0.0000
Ir 0.0000 0.0000 0.5000
Ir 0.0000 0.5000 0.0000
Ir 0.5000 0.0000 0.0000
Ir 0.5000 0.5000 0.5000
Se 0.2500 0.2500 0.2500
Se 0.2500 0.2500 0.7500
Se 0.2500 0.7500 0.2500
Se 0.2500 0.7500 0.7500
Se 0.7500 0.2500 0.2500
Se 0.7500 0.2500 0.7500
Se 0.7500 0.7500 0.2500
Se 0.7500 0.7500 0.7500
! **Final energy**: -95.46 eV for the cell shown
! **Space group**: No. 225
! **Uncorrected formation energy**: 397 meV/atom
! **Excess energy over the best structure of this formula in the dataset**: 627 meV per atom

---

Record 9
! CrIrSe2, optimized geometry, DFT PBE; values from VASP
&SYSTEM
  ibrav = 0, nat = 8, ntyp = 3
/
ATOMIC_SPECIES
Cr 52.00 Cr.upf
Ir 192.22 Ir.upf
Se 78.96 Se.upf
CELL_PARAMETERS angstrom
9.3288 0.0000 0.0000
0.0000 3.3633 0.0000
-0.6921 0.0000 4.4143
ATOMIC_POSITIONS crystal
Cr 0.0000 0.0000 0.0000
Cr 0.5000 0.5000 0.0000
Ir 0.2338 0.5000 0.2554
Ir 0.7338 0.0000 0.2554
Se 0.2480 0.0000 0.8577
Se 0.4928 0.0000 0.4453
Se 0.7480 0.5000 0.8577
Se 0.9928 0.5000 0.4453
! **Final energy**: -49.81 eV for the cell shown
! **Space group**: No. 8
! **Uncorrected formation energy**: 137 meV/atom
! **Excess energy over the best structure of this formula in the dataset**: 367 meV per atom

---

Record 10
! CrIrSe2, optimized geometry, DFT PBE; values from VASP
&SYSTEM
  ibrav = 0, nat = 8, ntyp = 3
/
ATOMIC_SPECIES
Cr 52.00 Cr.upf
Ir 192.22 Ir.upf
Se 78.96 Se.upf
CELL_PARAMETERS angstrom
3.0354 0.0000 0.0000
0.0000 4.5669 0.0000
0.0000 0.0000 9.7282
ATOMIC_POSITIONS crystal
Cr 0.0000 0.0000 0.0000
Cr 0.5000 0.5000 0.5000
Ir 0.0000 0.5000 0.2364
Ir 0.5000 0.0000 0.7364
Se 0.0000 0.0000 0.5238
Se 0.0000 0.5000 0.7339
Se 0.5000 0.0000 0.2339
Se 0.5000 0.5000 0.0238
! **Final energy**: -48.81 eV for the cell shown
! **Space group**: No. 44
! **Uncorrected formation energy**: 263 meV/atom
! **Excess energy over the best structure of this formula in the dataset**: 493 meV per atom

---

Record 11
! CrIrSe2, optimized geometry, DFT PBE; values from VASP
&SYSTEM
  ibrav = 0, nat = 4, ntyp = 3
/
ATOMIC_SPECIES
Cr 52.00 Cr.upf
Ir 192.22 Ir.upf
Se 78.96 Se.upf
CELL_PARAMETERS angstrom
2.8688 0.0000 0.0000
0.0000 2.8688 0.0000
0.0000 0.0000 8.6705
ATOMIC_POSITIONS crystal
Cr 0.0000 0.0000 0.0000
Ir 0.5000 0.5000 0.2000
Se 0.0000 0.0000 0.4124
Se 0.5000 0.5000 0.8300
! **Final energy**: -25.26 eV for the cell shown
! **Space group**: No. 99
! **Uncorrected formation energy**: 50 meV/atom
! **Excess energy over the best structure of this formula in the dataset**: 279 meV per atom

---

Record 12
! CrIrSe2, optimized geometry, DFT PBE; values from VASP
&SYSTEM
  ibrav = 0, nat = 4, ntyp = 3
/
ATOMIC_SPECIES
Cr 52.00 Cr.upf
Ir 192.22 Ir.upf
Se 78.96 Se.upf
CELL_PARAMETERS angstrom
3.4306 0.0000 0.0000
0.0000 3.4306 0.0000
0.0000 0.0000 6.6064
ATOMIC_POSITIONS crystal
Cr 0.0000 0.0000 0.0000
Ir 0.5000 0.5000 0.2334
Se 0.0000 0.0000 0.3745
Se 0.5000 0.5000 0.8583
! **Final energy**: -25.75 eV for the cell shown
! **Space group**: No. 99
! **Uncorrected formation energy**: -74 meV/atom
! **Excess energy over the best structure of this formula in the dataset**: 156 meV per atom